Record 1
VFeCuIr, relaxed, DFT GGA-PBE; E_tot = -30.95 eV/cell; crystal system = cubic; DOS(E_F) = 2.739 states/eV per cell; mass density = 11.772 g/cm³; space-group type = F-43m, No. 216; formation enthalpy at 0 K = -103 meV per atom
1.0
-1.263 2.817 2.798
-2.278 -1.195 3.277
1.665 0.035 3.819
Ir Fe Cu V
1 1 1 1
Cartesian
-0.938 0.829 4.947 Ir
0.000 0.000 0.000 Fe
-1.407 1.243 7.420 Cu
-0.469 0.414 2.473 V



Record 2
Hf2CoSi, relaxed, DFT GGA-PBE; E_tot = -61.87 eV/cell; uncorrected formation energy = 0.38 eV per atom; crystal system = tetragonal; DOS(E_F) = 5.870 states/eV per cell; mass density = 9.874 g/cm³; space-group type = I-42d, No. 122
1.0
-1.428 0.939 3.707
0.094 -3.947 1.036
7.727 -0.521 5.355
Co Si Hf
2 2 4
Cartesian
0.000 0.000 0.000 Co
2.816 -0.543 5.717 Co
-0.667 -1.504 2.371 Si
3.577 -2.986 4.381 Si
1.057 -0.041 3.769 Hf
1.806 -2.476 2.465 Hf
5.296 -1.536 5.799 Hf
4.628 -3.006 8.162 Hf



- DOS(E_F) of number 2 (Hf2CoSi)?
  5.870 states/eV per cell